! NaGa3I (PBEsol, relaxed); values from VASP
&SYSTEM
  ibrav = 0, nat = 5, ntyp = 3
/
ATOMIC_SPECIES
Na 22.99 Na.upf
Ga 69.72 Ga.upf
I 126.90 I.upf
CELL_PARAMETERS angstrom
5.8419 0.0000 0.0000
0.0000 5.8419 0.0000
0.0000 0.0000 5.8419
ATOMIC_POSITIONS angstrom
Na 2.9210 2.9210 2.9210
Ga 2.9210 0.0000 0.0000
Ga 0.0000 2.9210 0.0000
Ga 0.0000 0.0000 2.9210
I 0.0000 0.0000 0.0000
! Mass density   2991 kg/m3
! Formation energy (no corrections)   2.60 eV/f.u.
! Crystal system   cubic
! M_tot   0.0 μB per formula unit
! DOS at the Fermi energy   0.457 states/eV/atom

---

! NaTl2GaI (PBEsol, relaxed); values from VASP
&SYSTEM
  ibrav = 0, nat = 5, ntyp = 4
/
ATOMIC_SPECIES
Tl 204.38 Tl.upf
I 126.90 I.upf
Ga 69.72 Ga.upf
Na 22.99 Na.upf
CELL_PARAMETERS angstrom
-5.5045 1.3543 -1.4355
-1.8252 -5.8007 1.5262
-1.0705 1.8848 5.8831
ATOMIC_POSITIONS angstrom
Tl -0.9126 -2.9004 0.7631
Tl -0.5353 0.9424 2.9416
I 0.0000 0.0000 0.0000
Ga -2.7522 0.6772 -0.7177
Na -4.2001 -1.2808 2.9869
! Mass density   4539 kg/m3
! Formation energy (no corrections)   1.53 eV/f.u.
! Crystal system   tetragonal
! M_tot   0.0 μB per formula unit
! DOS at the Fermi energy   0.452 states/eV/atom

---

! NbGaOs2I (PBEsol, relaxed); values from VASP
&SYSTEM
  ibrav = 0, nat = 5, ntyp = 4
/
ATOMIC_SPECIES
Ga 69.72 Ga.upf
Nb 92.91 Nb.upf
I 126.90 I.upf
Os 190.23 Os.upf
CELL_PARAMETERS angstrom
4.7830 0.0000 0.0000
0.0000 4.7830 0.0000
0.0000 0.0000 5.0254
ATOMIC_POSITIONS angstrom
Ga 0.0000 0.0000 2.5127
Nb 0.0000 0.0000 0.0000
I 2.3915 2.3915 2.5127
Os 0.0000 2.3915 0.0000
Os 2.3915 0.0000 0.0000
! Mass density   9677 kg/m3
! Formation energy (no corrections)   9.19 eV/f.u.
! Crystal system   tetragonal
! M_tot   1.3 μB per formula unit
! DOS at the Fermi energy   0.932 states/eV/atom

---

For reference, V by record: 39.9; 46.0; 23.0 A^3/atom.